LiCoNiAs | PBE | optimized geometry

Results
size of the total moment	0.291	μB per atom
VASP energy	-20.529	eV/f.u.
Fermi-level density of states	1.95	states/eV/f.u.
formation energy from the elements	-270	meV/atom

```
data_LiCoNiAs
_chemical_formula_sum 'Li4 Co4 Ni4 As4'
_cell_length_a 5.662
_cell_length_b 5.662
_cell_length_c 5.662
_cell_angle_alpha 90.00
_cell_angle_beta 90.00
_cell_angle_gamma 90.00
_space_group_name_H-M_alt 'F -4 3 m'
_space_group_IT_number 216
_space_group_name_Hall 'F -4 2 3'
loop_
_atom_site_label
_atom_site_fract_x
_atom_site_fract_y
_atom_site_fract_z
Li1 0.000 0.000 0.000
Co1 0.250 0.250 0.750
Ni1 0.250 0.250 0.250
As1 0.000 0.000 0.500
```